Entry 1:
# CsTi3Cd | Alexandria | PBE | relaxed
# * E_tot: -3.215 eV per atom
# * V: 123 Å³ per cell
# * total magnetic moment: 2.42 μB/f.u.
data_CsTi3Cd
_space_group_name_H-M_alt 'P m -3 m'
_space_group_IT_number 221
_space_group_name_Hall '-P 4 2 3'
_cell_length_a 4.976
_cell_length_b 4.976
_cell_length_c 4.976
_cell_angle_alpha 90.00
_cell_angle_beta 90.00
_cell_angle_gamma 90.00
loop_
_atom_site_label
_atom_site_fract_x
_atom_site_fract_y
_atom_site_fract_z
Cs1 0.000 0.000 0.000
Ti1 0.000 0.000 0.500
Cd1 0.500 0.500 0.500

=====

Entry 2:
# DyHoC2 | Alexandria | PBE | relaxed
# * E_tot: -6.884 eV per atom
# * V: 196 Å³ per cell
# * total magnetic moment: 0.00 μB/f.u.
data_DyHoC2
_space_group_name_H-M_alt 'R -3 m'
_space_group_IT_number 166
_space_group_name_Hall '-R 3 2"'
_cell_length_a 3.5880
_cell_length_b 3.5880
_cell_length_c 17.5364
_cell_angle_alpha 90.00
_cell_angle_beta 90.00
_cell_angle_gamma 120.00
loop_
_atom_site_label
_atom_site_fract_x
_atom_site_fract_y
_atom_site_fract_z
Dy1 0.0000 0.0000 0.0000
Ho1 0.0000 0.0000 0.5000
C1 0.0000 0.0000 0.2495